No. 1
# AgRuW2, optimized geometry, DFT PBE
data_AgRuW2
_space_group_name_H-M_alt 'I m m m'
_space_group_IT_number 71
_space_group_name_Hall '-I 2 2'
_cell_length_a 3.2381
_cell_length_b 4.3743
_cell_length_c 8.9753
_cell_angle_alpha 90.00
_cell_angle_beta 90.00
_cell_angle_gamma 90.00
loop_
_atom_site_label
_atom_site_type_symbol
_atom_site_fract_x
_atom_site_fract_y
_atom_site_fract_z
Ag1 Ag 0.0000 0.0000 0.0000
Ru1 Ru 0.0000 0.0000 0.5000
W1 W 0.0000 0.5000 0.2361
# M_tot: 0.000 Bohr magnetons per cell
# ΔH_f (0 K): 2.0 eV/f.u.
# Polymorph energy (0 for the lowest one): 172 meV/atom

No. 2
# AgRuW2, optimized geometry, DFT PBE
data_AgRuW2
_space_group_name_H-M_alt 'P 4 m m'
_space_group_IT_number 99
_space_group_name_Hall 'P 4 -2'
_cell_length_a 2.7733
_cell_length_b 2.7733
_cell_length_c 8.3611
_cell_angle_alpha 90.00
_cell_angle_beta 90.00
_cell_angle_gamma 90.00
loop_
_atom_site_label
_atom_site_type_symbol
_atom_site_fract_x
_atom_site_fract_y
_atom_site_fract_z
Ag1 Ag 0.0000 0.0000 0.0000
Ru1 Ru 0.5000 0.5000 0.2623
W1 W 0.0000 0.0000 0.4767
W2 W 0.5000 0.5000 0.7354
# M_tot: 0.000 Bohr magnetons per cell
# ΔH_f (0 K): 1.5 eV/f.u.
# Polymorph energy (0 for the lowest one): 47 meV/atom

No. 3
# AgRu2W, optimized geometry, DFT PBE
data_AgRu2W
_space_group_name_H-M_alt 'P m m m'
_space_group_IT_number 47
_space_group_name_Hall '-P 2 2'
_cell_length_a 3.1006
_cell_length_b 3.1259
_cell_length_c 6.5558
_cell_angle_alpha 90.00
_cell_angle_beta 90.00
_cell_angle_gamma 90.00
loop_
_atom_site_label
_atom_site_type_symbol
_atom_site_fract_x
_atom_site_fract_y
_atom_site_fract_z
Ag1 Ag 0.0000 0.0000 0.0000
Ru1 Ru 0.5000 0.5000 0.2813
W1 W 0.0000 0.0000 0.5000
# M_tot: 0.000 Bohr magnetons per cell
# ΔH_f (0 K): 1.1 eV/f.u.
# Polymorph energy (0 for the lowest one): 75 meV/atom

No. 4
# AgRu2W2, optimized geometry, DFT PBE
data_AgRu2W2
_space_group_name_H-M_alt 'P 4/m b m'
_space_group_IT_number 127
_space_group_name_Hall '-P 4 2ab'
_cell_length_a 7.5794
_cell_length_b 7.5794
_cell_length_c 2.8341
_cell_angle_alpha 90.00
_cell_angle_beta 90.00
_cell_angle_gamma 90.00
loop_
_atom_site_label
_atom_site_type_symbol
_atom_site_fract_x
_atom_site_fract_y
_atom_site_fract_z
Ag1 Ag 0.0000 0.0000 0.0000
Ru1 Ru 0.1364 0.3636 0.0000
W1 W 0.1569 0.6569 0.5000
# M_tot: 0.000 Bohr magnetons per cell
# ΔH_f (0 K): 1.3 eV/f.u.

No. 5
# AgRu2W, optimized geometry, DFT PBE
data_AgRu2W
_space_group_name_H-M_alt 'P m m m'
_space_group_IT_number 47
_space_group_name_Hall '-P 2 2'
_cell_length_a 2.8109
_cell_length_b 4.6099
_cell_length_c 4.7766
_cell_angle_alpha 90.00
_cell_angle_beta 90.00
_cell_angle_gamma 90.00
loop_
_atom_site_label
_atom_site_type_symbol
_atom_site_fract_x
_atom_site_fract_y
_atom_site_fract_z
Ag1 Ag 0.0000 0.0000 0.0000
Ru1 Ru 0.0000 0.5000 0.5000
Ru2 Ru 0.5000 0.5000 0.0000
W1 W 0.5000 0.0000 0.5000
# M_tot: 0.000 Bohr magnetons per cell
# ΔH_f (0 K): 2.7 eV/f.u.
# Polymorph energy (0 for the lowest one): 472 meV/atom

No. 6
# Ag2RuW, optimized geometry, DFT PBE
data_Ag2RuW
_space_group_name_H-M_alt 'I m m 2'
_space_group_IT_number 44
_space_group_name_Hall 'I 2 -2'
_cell_length_a 3.6226
_cell_length_b 4.4467
_cell_length_c 8.1994
_cell_angle_alpha 90.00
_cell_angle_beta 90.00
_cell_angle_gamma 90.00
loop_
_atom_site_label
_atom_site_type_symbol
_atom_site_fract_x
_atom_site_fract_y
_atom_site_fract_z
Ag1 Ag 0.0000 0.0000 0.0000
Ag2 Ag 0.0000 0.5000 0.2400
Ru1 Ru 0.0000 0.5000 0.7662
W1 W 0.0000 0.0000 0.4696
# M_tot: 0.000 Bohr magnetons per cell
# ΔH_f (0 K): 2.2 eV/f.u.
# Polymorph energy (0 for the lowest one): 317 meV/atom

No. 7
# Ag2RuW, optimized geometry, DFT PBE
data_Ag2RuW
_space_group_name_H-M_alt 'C 1 2/m 1'
_space_group_IT_number 12
_space_group_name_Hall '-C 2y'
_cell_length_a 9.8890
_cell_length_b 2.8012
_cell_length_c 4.7185
_cell_angle_alpha 90.00
_cell_angle_beta 99.30
_cell_angle_gamma 90.00
loop_
_atom_site_label
_atom_site_type_symbol
_atom_site_fract_x
_atom_site_fract_y
_atom_site_fract_z
Ag1 Ag 0.2492 0.0000 0.2500
Ru1 Ru 0.0000 0.5000 0.0000
W1 W 0.0000 0.0000 0.5000
# M_tot: 0.793 Bohr magnetons per cell
# ΔH_f (0 K): 2.1 eV/f.u.
# Polymorph energy (0 for the lowest one): 288 meV/atom

No. 8
# AgRuW2, optimized geometry, DFT PBE
data_AgRuW2
_space_group_name_H-M_alt 'P 1 2/m 1'
_space_group_IT_number 10
_space_group_name_Hall '-P 2y'
_cell_length_a 2.7948
_cell_length_b 4.0284
_cell_length_c 5.6050
_cell_angle_alpha 90.00
_cell_angle_beta 90.30
_cell_angle_gamma 90.00
loop_
_atom_site_label
_atom_site_type_symbol
_atom_site_fract_x
_atom_site_fract_y
_atom_site_fract_z
Ag1 Ag 0.0000 0.0000 0.0000
Ru1 Ru 0.0000 0.0000 0.5000
W1 W 0.4977 0.5000 0.7300
# M_tot: 0.000 Bohr magnetons per cell
# ΔH_f (0 K): 1.5 eV/f.u.
# Polymorph energy (0 for the lowest one): 34 meV/atom

No. 9
# Ag2RuW, optimized geometry, DFT PBE
data_Ag2RuW
_space_group_name_H-M_alt 'C 1 m 1'
_space_group_IT_number 8
_space_group_name_Hall 'C -2y'
_cell_length_a 9.1328
_cell_length_b 2.7461
_cell_length_c 5.2358
_cell_angle_alpha 90.00
_cell_angle_beta 96.55
_cell_angle_gamma 90.00
loop_
_atom_site_label
_atom_site_type_symbol
_atom_site_fract_x
_atom_site_fract_y
_atom_site_fract_z
Ag1 Ag 0.0000 0.0000 0.0000
Ag2 Ag 0.2504 0.0000 0.7797
Ru1 Ru 0.0052 0.5000 0.4798
W1 W 0.2495 0.5000 0.2953
# M_tot: 0.006 Bohr magnetons per cell
# ΔH_f (0 K): 2.1 eV/f.u.
# Polymorph energy (0 for the lowest one): 291 meV/atom

No. 10
# Ag2RuW, optimized geometry, DFT PBE
data_Ag2RuW
_space_group_name_H-M_alt 'P m m m'
_space_group_IT_number 47
_space_group_name_Hall '-P 2 2'
_cell_length_a 3.0885
_cell_length_b 4.3196
_cell_length_c 4.9000
_cell_angle_alpha 90.00
_cell_angle_beta 90.00
_cell_angle_gamma 90.00
loop_
_atom_site_label
_atom_site_type_symbol
_atom_site_fract_x
_atom_site_fract_y
_atom_site_fract_z
Ag1 Ag 0.0000 0.0000 0.0000
Ag2 Ag 0.5000 0.5000 0.0000
Ru1 Ru 0.0000 0.5000 0.5000
W1 W 0.5000 0.0000 0.5000
# M_tot: 0.000 Bohr magnetons per cell
# ΔH_f (0 K): 2.4 eV/f.u.
# Polymorph energy (0 for the lowest one): 357 meV/atom

No. 11
# AgRuW2, optimized geometry, DFT PBE
data_AgRuW2
_space_group_name_H-M_alt 'C m m m'
_space_group_IT_number 65
_space_group_name_Hall '-C 2 2'
_cell_length_a 5.5235
_cell_length_b 8.1020
_cell_length_c 2.7978
_cell_angle_alpha 90.00
_cell_angle_beta 90.00
_cell_angle_gamma 90.00
loop_
_atom_site_label
_atom_site_type_symbol
_atom_site_fract_x
_atom_site_fract_y
_atom_site_fract_z
Ag1 Ag 0.0000 0.0000 0.0000
Ru1 Ru 0.0000 0.5000 0.0000
W1 W 0.2500 0.2500 0.5000
# M_tot: 0.000 Bohr magnetons per cell
# ΔH_f (0 K): 1.8 eV/f.u.
# Polymorph energy (0 for the lowest one): 101 meV/atom

No. 12
# AgRu2W, optimized geometry, DFT PBE
data_AgRu2W
_space_group_name_H-M_alt 'C m m m'
_space_group_IT_number 65
_space_group_name_Hall '-C 2 2'
_cell_length_a 5.6772
_cell_length_b 7.5676
_cell_length_c 2.8298
_cell_angle_alpha 90.00
_cell_angle_beta 90.00
_cell_angle_gamma 90.00
loop_
_atom_site_label
_atom_site_type_symbol
_atom_site_fract_x
_atom_site_fract_y
_atom_site_fract_z
Ag1 Ag 0.0000 0.0000 0.0000
Ru1 Ru 0.2500 0.2500 0.5000
W1 W 0.0000 0.5000 0.0000
# M_tot: 0.000 Bohr magnetons per cell
# ΔH_f (0 K): 1.7 eV/f.u.
# Polymorph energy (0 for the lowest one): 215 meV/atom

No. 13
# AgRu2W, optimized geometry, DFT PBE
data_AgRu2W
_space_group_name_H-M_alt 'P 4 m m'
_space_group_IT_number 99
_space_group_name_Hall 'P 4 -2'
_cell_length_a 3.3332
_cell_length_b 3.3332
_cell_length_c 5.7702
_cell_angle_alpha 90.00
_cell_angle_beta 90.00
_cell_angle_gamma 90.00
loop_
_atom_site_label
_atom_site_type_symbol
_atom_site_fract_x
_atom_site_fract_y
_atom_site_fract_z
Ag1 Ag 0.0000 0.0000 0.0000
Ru1 Ru 0.0000 0.0000 0.5126
Ru2 Ru 0.5000 0.5000 0.2716
W1 W 0.5000 0.5000 0.6985
# M_tot: 0.422 Bohr magnetons per cell
# ΔH_f (0 K): 2.3 eV/f.u.
# Polymorph energy (0 for the lowest one): 366 meV/atom

No. 14
# AgRuW2, optimized geometry, DFT PBE
data_AgRuW2
_space_group_name_H-M_alt 'C m m m'
_space_group_IT_number 65
_space_group_name_Hall '-C 2 2'
_cell_length_a 3.0001
_cell_length_b 4.5454
_cell_length_c 9.4671
_cell_angle_alpha 90.00
_cell_angle_beta 90.00
_cell_angle_gamma 90.00
loop_
_atom_site_label
_atom_site_type_symbol
_atom_site_fract_x
_atom_site_fract_y
_atom_site_fract_z
Ag1 Ag 0.0000 0.0000 0.0000
Ru1 Ru 0.0000 0.0000 0.5000
W1 W 0.0000 0.5000 0.2662
# M_tot: 0.000 Bohr magnetons per cell
# ΔH_f (0 K): 1.9 eV/f.u.
# Polymorph energy (0 for the lowest one): 133 meV/atom

No. 15
# Ag2RuW, optimized geometry, DFT PBE
data_Ag2RuW
_space_group_name_H-M_alt 'P 4/m m m'
_space_group_IT_number 123
_space_group_name_Hall '-P 4 2'
_cell_length_a 2.6982
_cell_length_b 2.6982
_cell_length_c 8.9252
_cell_angle_alpha 90.00
_cell_angle_beta 90.00
_cell_angle_gamma 90.00
loop_
_atom_site_label
_atom_site_type_symbol
_atom_site_fract_x
_atom_site_fract_y
_atom_site_fract_z
Ag1 Ag 0.0000 0.0000 0.2461
Ru1 Ru 0.5000 0.5000 0.0000
W1 W 0.5000 0.5000 0.5000
# M_tot: 0.888 Bohr magnetons per cell
# ΔH_f (0 K): 2.7 eV/f.u.
# Polymorph energy (0 for the lowest one): 434 meV/atom